Nd3Ge2Pd | PBE | optimized geometry

a = 11.974 Å, b = 4.407 Å, c = 11.742 Å
α = 90.00°, β = 90.00°, γ = 90.00°
Space group Pnma (No. 62)
Inequivalent atoms, fractional coordinates:
Nd 0.055 0.250 0.128
Nd 0.122 0.750 0.559
Nd 0.216 0.250 0.808
Ge 0.014 0.750 0.312
Ge 0.188 0.750 0.001
Pd 0.128 0.250 0.373

Summary:
Its formation energy is -0.832 eV per atom. For the magnetic moment, the calculation gives 0.6 μB/f.u. As for the density of states at the Fermi level: 17.71 states/eV/cell. The total energy is -134.885 eV/cell.